! GGA-PBEsol Ca2Ge2Pt, relaxed; values from VASP
! Total magnetization: 0.000 μB/atom
! E_tot: -5.01 eV per atom
! DOS(E_F): 1.646 states/eV/f.u.
! ΔH_f (0 K): -3.95 eV/f.u.
&SYSTEM
  ibrav = 0, nat = 10, ntyp = 3
/
ATOMIC_SPECIES
Pt 195.08 Pt.upf
Ge 72.64 Ge.upf
Ca 40.08 Ca.upf
ATOMIC_POSITIONS angstrom
Pt 0.0000 3.3195 3.3195
Ge 0.0000 5.7295 4.2291
Ge 0.0000 0.9096 2.4100
Ca 2.3065 4.4578 5.5008
Ca 2.3065 2.1813 1.1383
Ca 2.3065 5.5008 2.1813
Ca 2.3065 1.1383 4.4578
Ge 0.0000 4.2291 0.9096
Ge 0.0000 2.4100 5.7295
Pt 0.0000 0.0000 0.0000
CELL_PARAMETERS angstrom
4.6131 0.0000 0.0000
0.0000 6.6391 0.0000
0.0000 0.0000 6.6391